Entry from Alexandria via LeMat-Bulk: a relaxed SmCr2CdO8 crystal (GGA+U).

V = 14.18 Å³ per atom
Energy = -80.95 eV per cell
SG = I-4m2

POSCAR file:
```
SmCr2CdO8
1.0
-4.0393 -1.6947 -4.2085
3.5275 -4.3457 2.3604
-3.2611 2.1822 4.6371
Cr Sm O Cd
2 1 8 1
Cartesian
-0.2559 -3.0202 -0.9240 Cr
-3.7782 -1.2664 -0.2477 Cr
0.0000 0.0000 0.0000 Sm
-3.8141 -2.6769 0.7439 O
-0.1246 -2.4156 0.6240 O
-2.3017 -1.9144 3.3340 O
-5.0491 -0.1673 0.1405 O
-1.6390 -3.9231 -1.1506 O
-3.9131 -1.8729 -1.8564 O
-3.4806 0.5366 2.7706 O
-2.3363 -0.3484 -0.0188 O
0.0052 -2.5919 3.0368 Cd
```